PmEr3Ga4: relaxed, PBE-GGA.

Spin magnetization: 0.00 μB per cell
Formation energy from the elements: -0.45 eV per atom
Electronic total energy: -34.129 eV for the cell shown
Space group: Immm, No. 71

abc: 3.510 6.758 9.195
angles: 111.56 101.00 90.00
Sites, in units of the cell vectors:
Pm  0.500  0.000  0.000
Er  0.000  0.500  0.000
Er  0.204  0.204  0.408
Er  0.796  0.796  0.592
Ga  0.369  0.560  0.737
Ga  0.631  0.440  0.263
Ga  0.631  0.823  0.263
Ga  0.369  0.177  0.737